(1)
## LiMgAu (PBE)

Data for crystalline LiMgAu at its relaxed geometry.

Cell and atoms, written as POSCAR:
```
LiMgAu
1.0
-1.483 -3.935 -1.548
4.295 1.153 -0.558
0.674 -1.265 2.570
Mg Au Li
1 1 1
Direct
0.333 0.667 0.651
0.000 0.000 0.060
0.667 0.333 0.289
```

Computed properties:
- Raw total energy: -0.099 hartree per atom
- Spin magnetization: 0.00 μB per cell
- Symmetry: No. 156
- DFT formation energy: -126.8 kJ/mol of formula units

(2)
## Li6MgAu (PBE)

Data for crystalline Li6MgAu at its relaxed geometry.

Cell and atoms, written as POSCAR:
```
Li6MgAu
1.0
-6.211 2.661 -2.631
-6.243 -0.849 3.824
-3.656 3.241 1.913
Li Mg Au
6 1 1
Direct
0.991 0.500 0.745
0.764 0.998 0.739
0.501 0.237 0.261
0.236 0.002 0.261
0.009 0.500 0.255
0.499 0.763 0.739
0.500 0.500 0.500
0.000 0.000 0.000
```

Computed properties:
- Raw total energy: -0.081 hartree per atom
- Spin magnetization: 0.00 μB per cell
- Symmetry: No. 2
- DFT formation energy: -123.2 kJ/mol of formula units

(3)
## Li5Mg2Au4 (PBE)

Data for crystalline Li5Mg2Au4 at its relaxed geometry.

Cell and atoms, written as POSCAR:
```
Li5Mg2Au4
1.0
2.894 0.000 0.000
0.000 7.485 -0.142
0.000 0.875 9.001
Li Mg Au
5 2 4
Direct
0.000 0.472 0.340
0.000 0.852 0.131
0.000 0.500 0.000
0.000 0.148 0.869
0.000 0.528 0.660
0.000 0.908 0.644
0.000 0.092 0.356
0.500 0.236 0.589
0.500 0.779 0.885
0.500 0.764 0.411
0.500 0.221 0.115
```

Computed properties:
- Raw total energy: -0.103 hartree per atom
- Spin magnetization: 0.00 μB per cell
- Symmetry: No. 10
- DFT formation energy: -479.0 kJ/mol of formula units

no.,V (Å³/f.u.)
1,51.20
2,143.05
3,195.33